(1)
# AcZn2Ga4Cu

An optimized crystal structure of AcZn2Ga4Cu (PBE, the Alexandria database).

- Formation enthalpy at 0 K: -0.21 eV per atom
- SG: R-3m
- Total DFT energy (no corrections): -3.063 eV per atom

a = 9.457 Å, b = 9.457 Å, c = 9.457 Å
α = 27.27°, β = 27.27°, γ = 27.27°
Sites, in units of the cell vectors:
Ac (0.000, 0.000, 0.000)
Zn (0.246, 0.246, 0.246)
Zn (0.754, 0.754, 0.754)
Ga (0.136, 0.136, 0.136)
Ga (0.407, 0.407, 0.407)
Ga (0.593, 0.593, 0.593)
Ga (0.864, 0.864, 0.864)
Cu (0.500, 0.500, 0.500)

---

(2)
# GaFe2Re

An optimized crystal structure of GaFe2Re (PBE, the Alexandria database).

- Formation enthalpy at 0 K: -0.04 eV per atom
- SG: P4/mmm
- Total DFT energy (no corrections): -8.137 eV per atom

a = 2.745 Å, b = 2.745 Å, c = 6.546 Å
α = 90.00°, β = 90.00°, γ = 90.00°
Sites, in units of the cell vectors:
Ga (0.000, 0.000, 0.000)
Fe (0.500, 0.500, 0.243)
Fe (0.500, 0.500, 0.757)
Re (0.000, 0.000, 0.500)

---

(3)
# Cs2ZrC

An optimized crystal structure of Cs2ZrC (PBE, the Alexandria database).

- Formation enthalpy at 0 K: 2.31 eV per atom
- SG: Fm-3m
- Total DFT energy (no corrections): -2.555 eV per atom

a = 5.793 Å, b = 5.793 Å, c = 5.793 Å
α = 60.00°, β = 60.00°, γ = 60.00°
Sites, in units of the cell vectors:
Cs (0.250, 0.250, 0.250)
Cs (0.750, 0.750, 0.750)
Zr (0.000, 0.000, 0.000)
C (0.500, 0.500, 0.500)

---

(4)
# K3RbSb

An optimized crystal structure of K3RbSb (PBE, the Alexandria database).

- Raw formation energy: -192.5 meV/atom
- ΔE to the lowest computed polymorph: 47.5 meV/atom
- SG: Pm-3m
- Total DFT energy (no corrections): -1.869 eV per atom

a = 6.885 Å, b = 6.885 Å, c = 6.885 Å
α = 90.00°, β = 90.00°, γ = 90.00°
Sites, in units of the cell vectors:
K (0.000, 0.000, 0.500)
K (0.000, 0.500, 0.000)
K (0.500, 0.000, 0.000)
Rb (0.500, 0.500, 0.500)
Sb (0.000, 0.000, 0.000)

---

(5)
# CsHgS14

An optimized crystal structure of CsHgS14 (PBE, the Alexandria database).

- Raw formation energy: 74.1 meV/atom
- SG: Imma
- Total DFT energy (no corrections): -3.610 eV per atom

a = 13.840 Å, b = 13.840 Å, c = 13.840 Å
α = 154.48°, β = 75.42°, γ = 110.44°
Sites, in units of the cell vectors:
Cs (0.325, 0.075, 0.250)
Cs (0.675, 0.925, 0.750)
Hg (0.000, 0.000, 0.500)
Hg (0.000, 0.500, 0.000)
S (0.041, 0.110, 0.931)
S (0.063, 0.404, 0.659)
S (0.070, 0.213, 0.358)
S (0.070, 0.712, 0.857)
S (0.244, 0.443, 0.308)
S (0.244, 0.936, 0.801)
S (0.245, 0.404, 0.841)
S (0.321, 0.890, 0.431)
S (0.354, 0.213, 0.643)
S (0.354, 0.712, 0.142)
S (0.365, 0.064, 0.808)
S (0.365, 0.557, 0.301)
S (0.418, 0.713, 0.705)
S (0.493, 0.287, 0.205)
S (0.507, 0.713, 0.795)
S (0.582, 0.287, 0.295)
S (0.635, 0.443, 0.699)
S (0.635, 0.936, 0.192)
S (0.646, 0.288, 0.858)
S (0.646, 0.787, 0.357)
S (0.679, 0.110, 0.569)
S (0.755, 0.596, 0.159)
S (0.756, 0.064, 0.199)
S (0.756, 0.557, 0.692)
S (0.930, 0.288, 0.143)
S (0.930, 0.787, 0.642)
S (0.937, 0.596, 0.341)
S (0.959, 0.890, 0.069)

---

(6)
# Rb8RuO6

An optimized crystal structure of Rb8RuO6 (PBE, the Alexandria database).

- Raw formation energy: -999.0 meV/atom
- SG: Pmn2_1
- Total DFT energy (no corrections): -4.117 eV per atom

a = 7.848 Å, b = 7.928 Å, c = 14.580 Å
α = 90.00°, β = 90.00°, γ = 90.00°
Sites, in units of the cell vectors:
Rb (0.000, 0.085, 0.000)
Rb (0.000, 0.743, 0.445)
Rb (0.214, 0.552, 0.106)
Rb (0.235, 0.577, 0.857)
Rb (0.249, 0.923, 0.256)
Rb (0.251, 0.077, 0.756)
Rb (0.265, 0.423, 0.357)
Rb (0.286, 0.448, 0.606)
Rb (0.500, 0.257, 0.945)
Rb (0.500, 0.915, 0.500)
Rb (0.714, 0.448, 0.606)
Rb (0.735, 0.423, 0.357)
Rb (0.749, 0.077, 0.756)
Rb (0.751, 0.923, 0.256)
Rb (0.765, 0.577, 0.857)
Rb (0.786, 0.552, 0.106)
Ru (0.000, 0.162, 0.496)
Ru (0.500, 0.838, 0.996)
O (0.000, 0.159, 0.624)
O (0.000, 0.402, 0.481)
O (0.000, 0.418, 0.969)
O (0.000, 0.687, 0.256)
O (0.195, 0.079, 0.439)
O (0.305, 0.921, 0.939)
O (0.500, 0.313, 0.756)
O (0.500, 0.582, 0.469)
O (0.500, 0.598, 0.981)
O (0.500, 0.841, 0.124)
O (0.695, 0.921, 0.939)
O (0.805, 0.079, 0.439)